# 1
This record from the Alexandria database describes a relaxed structure of AlSi2. The functional is GGA-PBE.

Summary:
As for the space group: P-3m1 (164). The uncorrected formation energy is 0.332 eV/atom.

extended XYZ file:
```
3
Lattice="2.7393 0.0000 0.0000 -1.3696 2.3723 0.0000 0.0000 0.0000 6.9376" Properties=species:S:1:pos:R:3 pbc="T T T"
Al 0.0000 0.0000 0.0000
Si 0.0000 1.5815 4.5866
Si 1.3696 0.7908 2.3510
```

# 2
This record from the Alexandria database describes a relaxed structure of Al3Si5. The functional is GGA-PBE.

Summary:
As for the space group: Cm (8). The calculation puts the distance to the lowest polymorph of the same formula at 0 meV per atom. The uncorrected formation energy is 0.267 eV/atom.

extended XYZ file:
```
16
Lattice="2.4584 -6.7151 0.0000 2.4584 6.7151 0.0000 -1.7082 0.0000 7.8465" Properties=species:S:1:pos:R:3 pbc="T T T"
Al 0.0000 0.0000 0.0000
Al 0.6425 2.6555 4.4515
Al 0.6425 -2.6555 4.4515
Al 3.6393 2.7326 0.1330
Al 2.4531 0.0000 1.2281
Al 3.6393 -2.7326 0.1330
Si 0.6148 4.9085 5.7943
Si 0.5442 1.9190 1.9188
Si 0.4692 0.0000 3.5712
Si 0.4772 1.1872 6.5436
Si 0.5442 -1.9190 1.9188
Si 0.4772 -1.1872 6.5436
Si 2.9881 2.1940 2.6350
Si 0.6148 -4.9085 5.7943
Si 2.9453 0.0000 4.0774
Si 2.9881 -2.1940 2.6350
```

# 3
This record from the Alexandria database describes a relaxed structure of AlSi. The functional is GGA-PBE.

Summary:
As for the space group: Cm (8). The uncorrected formation energy is 0.210 eV/atom.

extended XYZ file:
```
6
Lattice="4.7082 -1.3994 0.0000 4.7082 1.3994 0.0000 -2.8624 0.0000 6.9957" Properties=species:S:1:pos:R:3 pbc="T T T"
Al 0.0000 0.0000 0.0000
Al -1.5008 0.0000 3.8032
Al 2.6181 0.0000 1.4070
Si 1.0458 0.0000 4.6453
Si 5.1982 0.0000 2.3591
Si 3.9849 0.0000 6.1117
```

# 4
This record from the Alexandria database describes a relaxed structure of Al3Si. The functional is GGA-PBE.

Summary:
As for the space group: Pnma (62). The uncorrected formation energy is 0.107 eV/atom.

extended XYZ file:
```
16
Lattice="5.1744 0.0000 0.0000 0.0000 9.0505 0.0000 0.0000 0.0000 5.4618" Properties=species:S:1:pos:R:3 pbc="T T T"
Al 0.3258 2.2626 0.6974
Al 1.2655 4.5852 2.0360
Al 1.2655 8.9905 2.0360
Al 1.3217 0.0599 4.7669
Al 1.3217 4.4653 4.7669
Al 2.2614 6.7878 3.4283
Al 2.9129 2.2626 2.0335
Al 3.8526 4.5852 0.6949
Al 3.8526 8.9905 0.6949
Al 3.9089 0.0599 3.4258
Al 3.9089 4.4653 3.4258
Al 4.8486 6.7878 4.7645
Si 0.4159 2.2626 3.4588
Si 2.1713 6.7878 0.7279
Si 3.0031 2.2626 4.7339
Si 4.7585 6.7878 2.0030
```

# 5
This record from the Alexandria database describes a relaxed structure of Al4Si19. The functional is GGA-PBE.

Summary:
As for the space group: P1 (1). The uncorrected formation energy is 0.227 eV/atom.

extended XYZ file:
```
46
Lattice="10.0575 0.0000 0.0000 -1.0568 10.2897 0.0000 -0.6377 -0.2357 10.5099" Properties=species:S:1:pos:R:3 pbc="T T T"
Al 0.0000 0.0000 0.0000
Al -0.6138 8.2117 4.0423
Al 0.1858 9.8691 6.3911
Al 1.1309 4.7783 7.8056
Al 4.0026 7.8142 2.5749
Al 5.1404 3.1648 7.8167
Al 6.3465 4.2047 2.7532
Al 7.7466 5.6232 5.8308
Si -0.5809 8.3856 1.5323
Si -0.0244 4.4861 5.5839
Si -0.1940 4.8201 9.8714
Si 1.1994 3.0844 0.5071
Si 0.1381 9.7493 8.8759
Si 1.1641 2.8303 4.3475
Si 0.8969 6.3090 4.4007
Si 1.1024 6.9221 0.6655
Si 2.0830 1.5107 9.7046
Si 2.3867 3.6516 2.4806
Si 1.7661 8.0191 5.8122
Si 2.5006 1.6370 5.8499
Si 2.2714 6.0141 2.5312
Si 1.6504 8.1182 9.6834
Si 2.6908 2.8817 7.8321
Si 2.4452 6.8973 7.8205
Si 3.5237 9.0893 4.6326
Si 4.6295 1.2600 0.5708
Si 4.4745 2.5069 2.6179
Si 4.4982 1.1896 4.6251
Si 4.0017 9.2220 0.5383
Si 4.8248 7.1085 7.9397
Si 5.2935 8.4898 6.0699
Si 5.7995 1.8272 9.7907
Si 5.3617 8.4195 9.8713
Si 6.3019 2.0281 5.9551
Si 6.2062 6.6783 2.6085
Si 6.3475 5.3138 7.8755
Si 7.4509 0.1599 6.7512
Si 7.3576 0.1680 9.1257
Si 7.5677 3.5210 0.7034
Si 6.9813 7.6869 4.5942
Si 7.4960 7.3352 0.7248
Si 7.7793 3.2769 4.5881
Si 7.5333 5.1933 9.9292
Si 8.0462 10.0371 5.0682
Si 9.2845 2.0185 1.3020
Si 9.2801 1.6834 3.6517
```

# 6
This record from the Alexandria database describes a relaxed structure of AlSi. The functional is GGA-PBE.

Summary:
As for the space group: P2_12_12_1 (19). The uncorrected formation energy is 0.207 eV/atom.

extended XYZ file:
```
16
Lattice="5.9030 0.0000 0.0000 0.0000 7.6107 0.0000 0.0000 0.0000 7.6952" Properties=species:S:1:pos:R:3 pbc="T T T"
Al 0.2240 0.8522 3.5803
Al 1.0502 2.7709 6.1784
Al 1.9013 4.8398 2.3308
Al 2.7275 6.7585 7.4279
Al 3.1755 2.9532 4.1149
Al 4.0017 1.0344 1.5168
Al 4.8528 6.5763 5.3644
Al 5.6790 4.6575 0.2673
Si 0.6207 3.3318 3.7610
Si 0.9584 0.3238 6.1599
Si 1.9931 7.2869 2.3123
Si 2.3308 4.2789 7.6086
Si 3.5722 0.4735 3.9342
Si 3.9098 3.4815 1.5354
Si 4.9446 4.1292 5.3830
Si 5.2823 7.1372 0.0866
```

Please write out number 6 again, unchanged.
This record from the Alexandria database describes a relaxed structure of AlSi. The functional is GGA-PBE.

Summary:
As for the space group: P2_12_12_1 (19). The uncorrected formation energy is 0.207 eV/atom.

extended XYZ file:
```
16
Lattice="5.9030 0.0000 0.0000 0.0000 7.6107 0.0000 0.0000 0.0000 7.6952" Properties=species:S:1:pos:R:3 pbc="T T T"
Al 0.2240 0.8522 3.5803
Al 1.0502 2.7709 6.1784
Al 1.9013 4.8398 2.3308
Al 2.7275 6.7585 7.4279
Al 3.1755 2.9532 4.1149
Al 4.0017 1.0344 1.5168
Al 4.8528 6.5763 5.3644
Al 5.6790 4.6575 0.2673
Si 0.6207 3.3318 3.7610
Si 0.9584 0.3238 6.1599
Si 1.9931 7.2869 2.3123
Si 2.3308 4.2789 7.6086
Si 3.5722 0.4735 3.9342
Si 3.9098 3.4815 1.5354
Si 4.9446 4.1292 5.3830
Si 5.2823 7.1372 0.0866
```